Computed, not measured: a relaxed CaB2PtRh crystal at the PBE level of DFT.

Computed properties:
Raw total energy   -16.44 eV for the cell shown
Size of the total moment   0.00 μB per formula unit

Cell and atoms, written as POSCAR:
```
CaB2PtRh
1.0
4.4630 0.0000 0.0000
0.0000 4.6372 0.0000
0.0000 0.0000 4.4630
Ca B Rh Pt
1 2 1 1
Cartesian
0.0000 0.0000 0.0000
0.0000 0.0000 2.2315
2.2315 0.0000 0.0000
0.0000 2.3186 0.0000
2.2315 2.3186 2.2315
```

***

Computed, not measured: a relaxed ReW3Se crystal at the PBE level of DFT.

Computed properties:
Size of the total moment   0.00 μB per formula unit
ΔE_f (raw)   2132 meV/atom

Cell and atoms, written as POSCAR:
```
ReW3Se
1.0
-0.7488 -3.1293 3.5414
4.5135 0.5894 1.4751
-1.4010 3.5714 2.8596
Re Se W
1 1 3
Cartesian
0.0000 0.0000 0.0000
1.1819 0.5157 3.9381
2.2567 0.2947 0.7376
-0.7005 1.7857 1.4298
-0.3744 -1.5647 1.7707
```

***

Computed, not measured: a relaxed Pr3Al2Ni6 crystal at the PBE level of DFT.

Computed properties:
Raw total energy   -122.36 eV for the cell shown
Size of the total moment   0.00 μB per formula unit

Cell and atoms, written as POSCAR:
```
Pr3Al2Ni6
1.0
-2.7657 -7.1041 -2.1165
5.7159 -0.8959 5.3965
-5.8790 4.3095 3.0760
Pr Al Ni
6 4 12
Cartesian
-6.1221 -1.9791 0.6795
-2.5226 -0.8155 0.2800
-0.0476 0.9961 2.4723
-0.1155 2.4175 6.0001
0.8609 -2.3345 0.9571
2.0893 -5.6655 2.3229
2.8580 -0.4479 2.6982
-1.3828 -3.5520 -1.0582
-2.9395 2.1547 1.5380
-1.4644 -1.8452 3.1780
-3.8563 -2.1641 2.4448
-3.8018 -3.3057 -0.3884
-4.8429 0.5110 1.3479
0.9275 -1.5263 3.9112
1.8571 0.8365 4.6242
-1.8951 -3.5924 1.4109
-1.0337 -0.0981 4.9451
-2.0202 2.5771 3.8482
2.8933 -2.9620 2.8962
0.0024 -3.8965 3.2170
-2.9312 0.2060 3.1390
0.0570 -5.0380 0.3838
```

***

Computed, not measured: a relaxed MnCu2Pd5Au2 crystal at the PBE level of DFT.

Computed properties:
Raw total energy   -100.06 eV for the cell shown
Size of the total moment   4.60 μB per formula unit

Cell and atoms, written as POSCAR:
```
MnCu2Pd5Au2
1.0
4.0071 0.0000 0.0000
0.0000 8.8933 0.0000
0.0000 0.0000 8.8933
Mn Cu Pd Au
2 4 10 4
Cartesian
0.0000 0.0000 0.0000
0.0000 4.4466 4.4466
0.0000 1.0858 5.5324
0.0000 7.8075 3.3609
0.0000 5.5324 7.8075
0.0000 3.3609 1.0858
2.0036 1.7626 0.7039
2.0036 7.1307 8.1893
2.0036 0.7039 7.1307
2.0036 6.2092 3.7427
2.0036 8.1893 1.7626
2.0036 2.6840 5.1505
2.0036 5.1505 6.2092
2.0036 3.7427 2.6840
2.0036 4.4466 0.0000
2.0036 0.0000 4.4466
0.0000 5.9841 1.5375
0.0000 2.9092 7.3558
0.0000 1.5375 2.9092
0.0000 7.3558 5.9841
```

***

Computed, not measured: a relaxed Sc5Tl2ZnRh2 crystal at the PBE level of DFT.

Computed properties:
Raw total energy   -114.61 eV for the cell shown
Size of the total moment   0.00 μB per formula unit

Cell and atoms, written as POSCAR:
```
Sc5Tl2ZnRh2
1.0
-1.5618 2.8114 -1.0911
-4.8672 -5.8492 -8.1045
-8.5883 -2.1634 6.7191
Sc Tl Zn Rh
10 4 2 4
Cartesian
-2.3927 0.0881 -1.6335
-12.6247 -5.2893 -0.8430
-8.0453 -0.7752 4.2334
-7.8164 -3.5897 -3.3464
-6.9721 -4.4260 -6.7099
-7.2010 -1.6115 0.8699
-9.5717 -3.4713 -0.5287
-5.4457 -1.7299 -1.9479
-3.2145 -1.5189 -4.5978
-5.0751 0.3240 2.8140
-4.7330 -4.2939 -4.2890
-8.7225 -3.7187 2.9036
-3.6583 -1.7116 0.8263
-9.7973 -6.3010 -2.2117
0.0000 0.0000 0.0000
-6.7278 -4.0063 -0.6927
-6.0810 -2.1458 3.1756
-7.3745 -5.8669 -4.5610
-10.5278 -5.5775 0.6983
-2.9278 -2.4351 -2.0837
```

***

Computed, not measured: a relaxed CoPtCl2 crystal at the PBE level of DFT.

Computed properties:
Size of the total moment   3.01 μB per formula unit
ΔE_f (raw)   73 meV/atom

Cell and atoms, written as POSCAR:
```
CoPtCl2
1.0
-1.8937 -2.9064 3.3184
1.4858 -2.9602 3.4749
-0.1458 4.2116 4.5964
Co Pt Cl
1 1 2
Cartesian
-0.2406 -1.2388 4.7709
-0.1312 0.7503 3.0922
-0.0322 0.2438 0.7795
-0.4265 -2.2378 8.4420
```

***

Computed, not measured: a relaxed ScIrOs2 crystal at the PBE level of DFT.

Computed properties:
Raw total energy   -36.81 eV for the cell shown
Size of the total moment   0.00 μB per formula unit

Cell and atoms, written as POSCAR:
```
ScIrOs2
1.0
0.0000 3.1466 3.1466
3.1466 0.0000 3.1466
3.1466 3.1466 0.0000
Sc Ir Os
1 1 2
Cartesian
0.0000 0.0000 0.0000
3.1466 3.1466 3.1466
1.5733 1.5733 1.5733
4.7200 4.7200 4.7200
```

***

Computed, not measured: a relaxed RbHoCuCl6 crystal at the PBE level of DFT.

Computed properties:
Size of the total moment   0.99 μB per formula unit
ΔE_f (raw)   -1623 meV/atom

Cell and atoms, written as POSCAR:
```
RbHoCuCl6
1.0
-0.1793 -4.3949 5.6255
4.8060 -4.2276 1.3889
3.2696 4.5988 4.7143
Rb Ho Cu Cl
1 1 1 6
Cartesian
7.7955 0.4848 6.1869
4.5833 -3.3908 7.0725
3.1817 -0.5760 4.6850
2.4684 -4.7981 7.2757
2.3957 1.4567 5.4263
4.1710 -0.9372 7.6168
5.1851 0.3793 4.0297
4.0409 -2.7215 4.5243
1.0330 -1.3931 4.8104
```